Record 1
NaZr2FeCl | SCAN | PBEsol geometry

Computed properties:
DOS at the Fermi energy ... 3.4 states/eV per cell
Magnetization ... 0.000 μB/atom
ΔE_f (raw) ... 0.2605 eV/atom
Uncorrected energy ... -18.0835 eV per atom

a b c (Å): 4.556 4.556 5.784
angles (deg): 90.00 90.00 90.00
Atoms (fractional coordinates):
Zr  0.000  0.500  0.000
Na  0.000  0.000  0.500
Fe  0.000  0.000  0.000
Zr  0.500  0.000  0.000
Cl  0.500  0.500  0.500

Record 2
CsHoW2O8 | SCAN | PBEsol geometry

Computed properties:
DOS at the Fermi energy ... 0.0 states/eV per cell
Magnetization ... 0.000 μB/atom
ΔE_f (raw) ... -2.7158 eV/atom
Uncorrected energy ... -25.7178 eV per atom

a b c (Å): 7.496 7.520 7.520
angles (deg): 91.04 117.48 62.52
Atoms (fractional coordinates):
O  0.937  0.379  0.752
O  0.798  0.219  0.951
Cs  0.250  0.198  0.198
O  0.624  0.626  0.062
O  0.376  0.374  0.938
W  0.276  0.698  0.310
W  0.224  0.310  0.698
O  0.563  0.752  0.379
O  0.535  0.411  0.371
Ho  0.250  0.773  0.773
O  0.465  0.589  0.629
Cs  0.750  0.802  0.802
O  0.965  0.371  0.411
O  0.035  0.629  0.589
O  0.876  0.062  0.626
W  0.724  0.302  0.690
Ho  0.750  0.227  0.227
O  0.063  0.621  0.248
O  0.298  0.049  0.781
O  0.437  0.248  0.621
O  0.124  0.938  0.374
W  0.776  0.690  0.302
O  0.702  0.951  0.219
O  0.202  0.781  0.049

Record 3
SrLiMg2 | SCAN | PBEsol geometry

Computed properties:
DOS at the Fermi energy ... 3.0 states/eV per cell
Magnetization ... 0.026 μB/atom
Calculated formation energy ... -12 meV per atom
Distance to the lowest polymorph of the same formula ... 0.000 eV/atom
Uncorrected energy ... -8.6651 eV per atom

a b c (Å): 3.714 3.714 8.031
angles (deg): 90.00 90.00 90.00
Atoms (fractional coordinates):
Sr  0.500  0.500  0.000
Li  0.500  0.500  0.500
Mg  0.000  0.000  0.304
Mg  0.000  0.000  0.696

Record 4
Cr2RuW | SCAN | PBEsol geometry

Computed properties:
DOS at the Fermi energy ... 4.3 states/eV per cell
Magnetization ... 0.000 μB/atom
Calculated formation energy ... 312 meV per atom
Distance to the lowest polymorph of the same formula ... 0.277 eV/atom
Uncorrected energy ... -35.0085 eV per atom

a b c (Å): 3.747 3.747 4.575
angles (deg): 114.18 114.18 90.00
Atoms (fractional coordinates):
Cr  0.250  0.750  0.500
Ru  0.500  0.500  0.000
Cr  0.750  0.250  0.500
W  0.000  0.000  0.000

Record 5
SrCa2W | SCAN | PBEsol geometry

Computed properties:
DOS at the Fermi energy ... 4.4 states/eV per cell
Magnetization ... 0.037 μB/atom
Calculated formation energy ... 920 meV per atom
Distance to the lowest polymorph of the same formula ... 0.000 eV/atom
Uncorrected energy ... -26.9022 eV per atom

a b c (Å): 3.225 3.225 11.280
angles (deg): 90.00 90.00 90.00
Site moments in Bohr magnetons follow the coordinates.
Atoms (fractional coordinates):
W  0.500  0.500  0.000  0.06
Sr  0.500  0.500  0.500  0.06
Ca  0.000  0.000  0.806  -0.02
Ca  0.000  0.000  0.194  -0.02

Record 6
Ca2TaCdPt | SCAN | PBEsol geometry

Computed properties:
DOS at the Fermi energy ... 4.4 states/eV per cell
Magnetization ... 0.000 μB/atom
Calculated formation energy ... 1418 meV per atom
Uncorrected energy ... -35.8858 eV per atom

a b c (Å): 5.072 5.373 5.373
angles (deg): 90.00 90.00 90.00
Atoms (fractional coordinates):
Cd  0.500  0.000  0.000
Ca  0.000  0.000  0.500
Ca  0.000  0.500  0.000
Ta  0.000  0.000  0.000
Pt  0.500  0.500  0.500

Record 7
AlReSe2 | SCAN | PBEsol geometry

Computed properties:
DOS at the Fermi energy ... 2.2 states/eV per cell
Magnetization ... 0.000 μB/atom
ΔE_f (raw) ... 0.3999 eV/atom
Uncorrected energy ... -29.3516 eV per atom

a b c (Å): 3.035 4.826 5.389
angles (deg): 116.60 106.36 90.00
Atoms (fractional coordinates):
Se  0.030  0.030  0.060
Al  0.492  0.492  0.983
Re  0.742  0.242  0.484
Se  0.237  0.737  0.474

Record 8
LiLaY2 | SCAN | PBEsol geometry

Computed properties:
DOS at the Fermi energy ... 4.1 states/eV per cell
Magnetization ... 0.039 μB/atom
Calculated formation energy ... 75 meV per atom
Distance to the lowest polymorph of the same formula ... 0.016 eV/atom
Uncorrected energy ... -25.2200 eV per atom

a b c (Å): 3.716 5.520 6.530
angles (deg): 115.00 106.53 90.00
Atoms (fractional coordinates):
Y  0.746  0.246  0.492
La  0.525  0.526  0.051
Y  0.974  0.974  0.948
Li  0.255  0.754  0.509

Record 9
CrP2Se | SCAN | PBEsol geometry

Computed properties:
DOS at the Fermi energy ... 1.6 states/eV per cell
Magnetization ... 0.648 μB/atom
ΔE_f (raw) ... -0.0123 eV/atom
Uncorrected energy ... -14.8274 eV per atom

a b c (Å): 3.305 4.425 6.999
angles (deg): 108.43 103.65 90.00
Site moments in Bohr magnetons follow the coordinates.
Atoms (fractional coordinates):
P  0.764  0.264  0.529  0.01
Cr  0.103  0.603  0.206  2.78
Se  0.479  0.479  0.958  -0.20
P  0.154  0.154  0.307  -0.09

Record 10
Tc3IrW | SCAN | PBEsol geometry

Computed properties:
DOS at the Fermi energy ... 6.4 states/eV per cell
Magnetization ... 0.003 μB/atom
Calculated formation energy ... 2171 meV per atom
Uncorrected energy ... -47.0220 eV per atom

a b c (Å): 4.548 4.548 4.548
angles (deg): 90.00 90.00 90.00
Atoms (fractional coordinates):
Ir  0.000  0.000  0.000
Tc  0.000  0.500  0.000
Tc  0.500  0.000  0.000
Tc  0.000  0.000  0.500
W  0.500  0.500  0.500

Record 11
CrMo2As | SCAN | PBEsol geometry

Computed properties:
DOS at the Fermi energy ... 2.9 states/eV per cell
Magnetization ... 0.001 μB/atom
Calculated formation energy ... 201 meV per atom
Uncorrected energy ... -26.8857 eV per atom

a b c (Å): 4.278 4.278 4.278
angles (deg): 60.00 60.00 60.00
Atoms (fractional coordinates):
Mo  0.750  0.750  0.750
Mo  0.000  0.000  0.000
As  0.500  0.500  0.500
Cr  0.250  0.250  0.250

Record 12
Mn2SeN2 | SCAN | PBEsol geometry

Computed properties:
DOS at the Fermi energy ... 4.0 states/eV per cell
Magnetization ... 0.000 μB/atom
ΔE_f (raw) ... 0.0386 eV/atom
Uncorrected energy ... -14.9957 eV per atom

a b c (Å): 3.136 3.136 6.274
angles (deg): 90.00 90.00 120.00
Atoms (fractional coordinates):
Mn  0.667  0.333  0.682
Mn  0.333  0.667  0.318
Se  0.000  0.000  0.000
N  0.333  0.667  0.631
N  0.667  0.333  0.369